No. 1
Below is a geometry-optimized BePCl2 structure, with properties calculated at the GGA-PBE level.

abc: 8.326 8.326 8.326
angles: 22.69 22.69 22.69
Fractional coordinates of all 4 atoms:
Be1 0.000 0.000 0.000
P1 0.276 0.276 0.276
Cl1 0.536 0.536 0.536
Cl2 0.719 0.719 0.719

**Magnetization**: 0.0 μB/cell
**DOS(E_F)**: 0.99 states/eV per cell
**V**: 18.8 A^3/atom
**Crystal system**: trigonal
**Formation energy without anion corrections**: -40 meV/atom
**Distance to the lowest polymorph of the same formula**: 404 meV per atom


No. 2
Below is a geometry-optimized BePCl2 structure, with properties calculated at the GGA-PBE level.

abc: 7.032 7.032 7.630
angles: 120.86 120.86 23.02
Fractional coordinates of all 4 atoms:
Be1 0.000 0.000 0.000
P1 0.500 0.500 0.500
Cl1 0.374 0.374 0.876
Cl2 0.626 0.626 0.124

**Magnetization**: 0.2 μB/cell
**DOS(E_F)**: 2.52 states/eV per cell
**V**: 31.4 A^3/atom
**Crystal system**: monoclinic
**Formation energy without anion corrections**: -67 meV/atom
**Distance to the lowest polymorph of the same formula**: 377 meV per atom


No. 3
Below is a geometry-optimized BePCl2 structure, with properties calculated at the GGA-PBE level.

abc: 6.749 6.749 6.749
angles: 150.11 150.11 42.79
Fractional coordinates of all 4 atoms:
Be1 0.000 0.000 0.000
P1 0.750 0.250 0.500
Cl1 0.250 0.750 0.500
Cl2 0.500 0.500 0.000

**Magnetization**: 0.0 μB/cell
**DOS(E_F)**: 1.50 states/eV per cell
**V**: 19.0 A^3/atom
**Crystal system**: tetragonal
**Formation energy without anion corrections**: 558 meV/atom
**Distance to the lowest polymorph of the same formula**: 1002 meV per atom


No. 4
Below is a geometry-optimized BePCl2 structure, with properties calculated at the GGA-PBE level.

abc: 2.862 2.862 11.542
angles: 90.00 90.00 90.00
Fractional coordinates of all 4 atoms:
Be1 0.000 0.000 0.000
P1 0.000 0.000 0.500
Cl1 0.500 0.500 0.123
Cl2 0.500 0.500 0.877

**Magnetization**: 0.0 μB/cell
**DOS(E_F)**: 1.36 states/eV per cell
**V**: 23.6 A^3/atom
**Crystal system**: tetragonal
**Formation energy without anion corrections**: 247 meV/atom
**Distance to the lowest polymorph of the same formula**: 691 meV per atom


No. 5
Below is a geometry-optimized BePCl2 structure, with properties calculated at the GGA-PBE level.

abc: 4.711 4.711 3.170
angles: 90.00 90.00 100.82
Fractional coordinates of all 4 atoms:
Be1 0.000 0.000 0.000
P1 0.500 0.500 0.000
Cl1 0.000 0.500 0.500
Cl2 0.500 0.000 0.500

**Magnetization**: 0.0 μB/cell
**DOS(E_F)**: 2.39 states/eV per cell
**V**: 17.3 A^3/atom
**Crystal system**: orthorhombic
**Formation energy without anion corrections**: 851 meV/atom
**Distance to the lowest polymorph of the same formula**: 1295 meV per atom


No. 6
Below is a geometry-optimized BePCl structure, with properties calculated at the GGA-PBE level.

abc: 3.670 3.670 4.601
angles: 90.00 90.00 120.00
Fractional coordinates of all 3 atoms:
Be1 0.000 0.000 0.000
P1 0.667 0.333 0.999
Cl1 0.333 0.667 0.499

**Magnetization**: 0.0 μB/cell
**DOS(E_F)**: 1.62 states/eV per cell
**V**: 17.9 A^3/atom
**Crystal system**: trigonal
**Formation energy without anion corrections**: 165 meV/atom
**Distance to the lowest polymorph of the same formula**: 328 meV per atom


No. 7
Below is a geometry-optimized BePCl structure, with properties calculated at the GGA-PBE level.

abc: 2.991 2.991 6.989
angles: 90.00 90.00 120.00
Fractional coordinates of all 3 atoms:
Be1 0.000 0.000 0.000
P1 0.333 0.667 0.747
Cl1 0.667 0.333 0.178

**Magnetization**: 0.0 μB/cell
**DOS(E_F)**: 1.42 states/eV per cell
**V**: 18.0 A^3/atom
**Crystal system**: trigonal
**Formation energy without anion corrections**: -163 meV/atom
**Distance to the lowest polymorph of the same formula**: 0 meV per atom


No. 8
Below is a geometry-optimized BePCl2 structure, with properties calculated at the GGA-PBE level.

abc: 3.808 3.808 8.511
angles: 90.00 90.00 132.48
Fractional coordinates of all 4 atoms:
Be1 0.000 0.000 0.000
P1 0.500 0.500 0.188
Cl1 0.000 0.000 0.397
Cl2 0.500 0.500 0.843

**Magnetization**: 0.0 μB/cell
**DOS(E_F)**: 0.65 states/eV per cell
**V**: 22.8 A^3/atom
**Crystal system**: orthorhombic
**Formation energy without anion corrections**: -122 meV/atom
**Distance to the lowest polymorph of the same formula**: 322 meV per atom


No. 9
Below is a geometry-optimized BePCl2 structure, with properties calculated at the GGA-PBE level.

abc: 11.616 11.616 11.616
angles: 15.17 15.17 15.17
Fractional coordinates of all 4 atoms:
Be1 0.000 0.000 0.000
P1 0.500 0.500 0.500
Cl1 0.371 0.371 0.371
Cl2 0.629 0.629 0.629

**Magnetization**: 0.0 μB/cell
**DOS(E_F)**: 1.06 states/eV per cell
**V**: 23.4 A^3/atom
**Crystal system**: trigonal
**Formation energy without anion corrections**: -293 meV/atom
**Distance to the lowest polymorph of the same formula**: 151 meV per atom


No. 10
Below is a geometry-optimized BePCl2 structure, with properties calculated at the GGA-PBE level.

abc: 3.394 3.394 12.114
angles: 90.00 90.00 129.55
Fractional coordinates of all 4 atoms:
Be1 0.000 0.000 0.000
P1 0.000 0.000 0.500
Cl1 0.500 0.500 0.121
Cl2 0.500 0.500 0.879

**Magnetization**: 0.0 μB/cell
**DOS(E_F)**: 0.95 states/eV per cell
**V**: 26.9 A^3/atom
**Crystal system**: orthorhombic
**Formation energy without anion corrections**: -147 meV/atom
**Distance to the lowest polymorph of the same formula**: 297 meV per atom


No. 11
Below is a geometry-optimized BePCl2 structure, with properties calculated at the GGA-PBE level.

abc: 3.287 3.287 7.862
angles: 90.00 90.00 90.00
Fractional coordinates of all 4 atoms:
Be1 0.000 0.000 0.000
P1 0.500 0.500 0.094
Cl1 0.000 0.000 0.765
Cl2 0.500 0.500 0.353

**Magnetization**: 0.0 μB/cell
**DOS(E_F)**: 1.04 states/eV per cell
**V**: 21.2 A^3/atom
**Crystal system**: tetragonal
**Formation energy without anion corrections**: -422 meV/atom
**Distance to the lowest polymorph of the same formula**: 22 meV per atom


No. 12
Below is a geometry-optimized BePCl2 structure, with properties calculated at the GGA-PBE level.

abc: 6.962 6.962 5.430
angles: 106.66 106.66 25.11
Fractional coordinates of all 4 atoms:
Be1 0.000 0.000 0.000
P1 0.637 0.637 0.180
Cl1 0.395 0.395 0.883
Cl2 0.590 0.590 0.515

**Magnetization**: 0.0 μB/cell
**DOS(E_F)**: 1.14 states/eV per cell
**V**: 26.7 A^3/atom
**Crystal system**: monoclinic
**Formation energy without anion corrections**: -319 meV/atom
**Distance to the lowest polymorph of the same formula**: 125 meV per atom


No. 13
Below is a geometry-optimized BePCl2 structure, with properties calculated at the GGA-PBE level.

abc: 4.950 4.604 4.486
angles: 65.97 58.16 55.87
Fractional coordinates of all 4 atoms:
Be1 0.000 0.000 0.000
P1 0.500 0.500 0.500
Cl1 0.000 0.500 0.500
Cl2 0.500 0.000 0.000

**Magnetization**: 0.0 μB/cell
**DOS(E_F)**: 0.89 states/eV per cell
**V**: 17.7 A^3/atom
**Crystal system**: orthorhombic
**Formation energy without anion corrections**: 336 meV/atom
**Distance to the lowest polymorph of the same formula**: 780 meV per atom


No. 14
Below is a geometry-optimized BePCl structure, with properties calculated at the GGA-PBE level.

abc: 4.224 4.224 4.224
angles: 60.00 60.00 60.00
Fractional coordinates of all 3 atoms:
Be1 0.000 0.000 0.000
P1 0.500 0.500 0.500
Cl1 0.250 0.250 0.250

**Magnetization**: 0.0 μB/cell
**DOS(E_F)**: 2.70 states/eV per cell
**V**: 17.8 A^3/atom
**Crystal system**: cubic
**Formation energy without anion corrections**: 1434 meV/atom
**Distance to the lowest polymorph of the same formula**: 1598 meV per atom


No. 15
Below is a geometry-optimized BePCl structure, with properties calculated at the GGA-PBE level.

abc: 4.124 4.124 4.124
angles: 60.00 60.00 60.00
Fractional coordinates of all 3 atoms:
Be1 0.000 0.000 0.000
P1 0.750 0.750 0.750
Cl1 0.250 0.250 0.250

**Magnetization**: 0.0 μB/cell
**DOS(E_F)**: 1.45 states/eV per cell
**V**: 16.5 A^3/atom
**Crystal system**: cubic
**Formation energy without anion corrections**: 697 meV/atom
**Distance to the lowest polymorph of the same formula**: 861 meV per atom